(1)
Compound: Sc2BWAu
Source: the Alexandria database
Functional: GGA-PBE
Structure: optimized geometry

CIF file:
```
data_Sc2BWAu
_cell_length_a 5.060
_cell_length_b 5.060
_cell_length_c 4.914
_cell_angle_alpha 90.00
_cell_angle_beta 90.00
_cell_angle_gamma 90.00
_symmetry_space_group_name_H-M 'P 4/m m m'
_symmetry_Int_Tables_number 123
_symmetry_space_group_name_Hall '-P 4 2'
loop_
_atom_site_label
_atom_site_type_symbol
_atom_site_fract_x
_atom_site_fract_y
_atom_site_fract_z
Sc1 Sc 0.000 0.500 0.000
B1 B 0.000 0.000 0.500
W1 W 0.500 0.500 0.500
Au1 Au 0.500 0.500 0.000
```

Summary:
DFT formation energy   1669 meV/atom


(2)
Compound: B2AuSe6
Source: the Alexandria database
Functional: GGA-PBE
Structure: optimized geometry

CIF file:
```
data_B2AuSe6
_cell_length_a 12.938
_cell_length_b 10.160
_cell_length_c 6.365
_cell_angle_alpha 90.00
_cell_angle_beta 100.91
_cell_angle_gamma 90.00
_symmetry_space_group_name_H-M 'C 1 2/c 1'
_symmetry_Int_Tables_number 15
_symmetry_space_group_name_Hall '-C 2yc'
loop_
_atom_site_label
_atom_site_type_symbol
_atom_site_fract_x
_atom_site_fract_y
_atom_site_fract_z
B1 B 0.244 0.073 0.372
Au1 Au 0.000 0.372 0.250
Se1 Se 0.101 0.402 0.629
Se2 Se 0.171 0.226 0.188
Se3 Se 0.183 0.072 0.655
```

Summary:
Formation energy from raw total energies   0.62 eV/f.u.


(3)
Compound: BAuSe3
Source: the Alexandria database
Functional: GGA-PBE
Structure: optimized geometry

CIF file:
```
data_BAuSe3
_cell_length_a 4.497
_cell_length_b 4.497
_cell_length_c 4.497
_cell_angle_alpha 90.00
_cell_angle_beta 90.00
_cell_angle_gamma 90.00
_symmetry_space_group_name_H-M 'P m -3 m'
_symmetry_Int_Tables_number 221
_symmetry_space_group_name_Hall '-P 4 2 3'
loop_
_atom_site_label
_atom_site_type_symbol
_atom_site_fract_x
_atom_site_fract_y
_atom_site_fract_z
B1 B 0.000 0.000 0.000
Au1 Au 0.500 0.500 0.500
Se1 Se 0.000 0.000 0.500
```

Summary:
Formation energy from raw total energies   4.12 eV/f.u.
Excess energy over the best structure of this formula in the dataset   3.86 eV/f.u.


Let's list density in order: 6.36; 5.60; 8.12 g/cm3.